A plane-wave DFT calculation with PBE was carried out for a relaxed Nb6Si7Ni16 crystal.

a b c (Å): 7.948 7.948 7.948
angles (deg): 120.00 90.00 120.00
Sites, in units of the cell vectors:
Nb  0.203  0.000  0.797
Nb  0.797  0.000  0.797
Nb  0.203  0.406  0.203
Nb  0.797  0.594  0.797
Nb  0.203  0.000  0.203
Nb  0.797  0.000  0.203
Ni  0.617  0.233  0.850
Ni  0.383  0.233  0.617
Ni  0.850  0.233  0.617
Ni  0.832  0.336  0.168
Ni  0.832  0.664  0.495
Ni  0.150  0.767  0.383
Ni  0.168  0.336  0.832
Ni  0.168  0.336  0.505
Ni  0.832  0.664  0.168
Ni  0.383  0.767  0.150
Ni  0.617  0.233  0.383
Ni  0.617  0.767  0.383
Ni  0.168  0.664  0.832
Ni  0.505  0.336  0.168
Ni  0.383  0.767  0.617
Ni  0.495  0.664  0.832
Si  0.500  0.000  0.000
Si  0.000  0.000  0.500
Si  0.000  0.500  0.500
Si  0.500  0.500  0.500
Si  0.500  0.000  0.500
Si  0.500  0.500  0.000
Si  0.000  0.500  0.000

Calculated total energy in eV/atom: -7.068
ΔE to the lowest computed polymorph in eV/atom: 0.000
Crystal system: cubic


A plane-wave DFT calculation with PBE was carried out for a relaxed Nb2SiNi3 crystal.

a b c (Å): 4.860 4.860 7.677
angles (deg): 90.00 90.00 120.00
Sites, in units of the cell vectors:
Si  0.000  0.000  0.500
Si  0.000  0.000  0.000
Nb  0.667  0.333  0.941
Nb  0.333  0.667  0.059
Nb  0.333  0.667  0.441
Nb  0.667  0.333  0.559
Ni  0.169  0.338  0.750
Ni  0.662  0.831  0.750
Ni  0.831  0.169  0.250
Ni  0.831  0.662  0.250
Ni  0.169  0.831  0.750
Ni  0.338  0.169  0.250

Calculated total energy in eV/atom: -7.507
Crystal system: hexagonal


A plane-wave DFT calculation with PBE was carried out for a relaxed NbSiNi2 crystal.

a b c (Å): 4.171 4.171 4.171
angles (deg): 60.00 60.00 60.00
Sites, in units of the cell vectors:
Nb  0.250  0.250  0.250
Si  0.500  0.500  0.500
Ni  0.750  0.750  0.750
Ni  0.000  0.000  0.000

Calculated total energy in eV/atom: -6.976
Crystal system: cubic


A plane-wave DFT calculation with PBE was carried out for a relaxed Nb4Si8Ni crystal.

a b c (Å): 9.010 9.010 9.010
angles (deg): 32.15 32.15 32.15
Sites, in units of the cell vectors:
Nb  0.841  0.841  0.841
Nb  0.159  0.159  0.159
Nb  0.644  0.644  0.644
Nb  0.356  0.356  0.356
Si  0.903  0.414  0.903
Si  0.456  0.456  0.456
Si  0.097  0.097  0.586
Si  0.544  0.544  0.544
Si  0.586  0.097  0.097
Si  0.097  0.586  0.097
Si  0.903  0.903  0.414
Si  0.414  0.903  0.903
Ni  0.000  0.000  0.000

Calculated total energy in eV/atom: -7.084
Crystal system: trigonal


A plane-wave DFT calculation with PBE was carried out for a relaxed Nb3SiNi2 crystal.

a b c (Å): 7.913 7.913 7.913
angles (deg): 120.00 90.00 120.00
Sites, in units of the cell vectors:
Nb  0.952  0.904  0.452
Nb  0.798  0.000  0.798
Nb  0.952  0.500  0.452
Nb  0.202  0.404  0.202
Nb  0.548  0.096  0.048
Nb  0.798  0.596  0.798
Nb  0.548  0.500  0.452
Nb  0.202  0.000  0.798
Nb  0.798  0.000  0.202
Nb  0.952  0.500  0.048
Nb  0.202  0.000  0.202
Nb  0.548  0.500  0.048
Ni  0.168  0.335  0.503
Ni  0.253  0.835  0.418
Ni  0.497  0.665  0.832
Ni  0.582  0.165  0.418
Ni  0.168  0.335  0.832
Ni  0.582  0.165  0.747
Ni  0.582  0.835  0.418
Ni  0.168  0.665  0.832
Si  0.875  0.250  0.625
Si  0.375  0.250  0.625
Si  0.375  0.750  0.625
Si  0.375  0.750  0.125

Calculated total energy in eV/atom: -8.205
Crystal system: cubic


A plane-wave DFT calculation with PBE was carried out for a relaxed NbSiTcNi crystal.

a b c (Å): 4.290 4.290 4.290
angles (deg): 60.00 60.00 60.00
Sites, in units of the cell vectors:
Ni  0.750  0.750  0.750
Si  0.000  0.000  0.000
Tc  0.250  0.250  0.250
Nb  0.500  0.500  0.500

Calculated total energy in eV/atom: -8.137
ΔE to the lowest computed polymorph in eV/atom: 0.000
Crystal system: cubic


A plane-wave DFT calculation with PBE was carried out for a relaxed NbSiNiW crystal.

a b c (Å): 4.365 4.365 4.365
angles (deg): 60.00 60.00 60.00
Sites, in units of the cell vectors:
W  0.500  0.500  0.500
Nb  0.250  0.250  0.250
Si  0.000  0.000  0.000
Ni  0.750  0.750  0.750

Calculated total energy in eV/atom: -8.360
Crystal system: cubic


A plane-wave DFT calculation with PBE was carried out for a relaxed NbZnSiNi crystal.

a b c (Å): 4.272 4.272 4.272
angles (deg): 60.00 60.00 60.00
Sites, in units of the cell vectors:
Nb  0.250  0.250  0.250
Si  0.000  0.000  0.000
Zn  0.500  0.500  0.500
Ni  0.750  0.750  0.750

Calculated total energy in eV/atom: -5.680
Crystal system: cubic


A plane-wave DFT calculation with PBE was carried out for a relaxed ZrNbSi2Ni crystal.

a b c (Å): 5.298 5.298 9.326
angles (deg): 115.72 115.72 40.97
Sites, in units of the cell vectors:
Zr  0.196  0.196  0.109
Zr  0.804  0.804  0.891
Si  0.361  0.361  0.440
Si  0.639  0.639  0.560
Si  0.517  0.517  0.879
Si  0.483  0.483  0.121
Nb  0.988  0.988  0.325
Nb  0.012  0.012  0.675
Ni  0.716  0.716  0.357
Ni  0.284  0.284  0.643

Calculated total energy in eV/atom: -7.819
Crystal system: monoclinic


A plane-wave DFT calculation with PBE was carried out for a relaxed SmNbNi crystal.

a b c (Å): 4.505 4.505 4.505
angles (deg): 60.00 60.00 60.00
Sites, in units of the cell vectors:
Ni  0.000  0.000  0.000
Nb  0.250  0.250  0.250
Sm  0.750  0.750  0.750

Calculated total energy in eV/atom: -6.373
ΔE to the lowest computed polymorph in eV/atom: 0.000
Crystal system: cubic


A plane-wave DFT calculation with PBE was carried out for a relaxed SmNbNi crystal.

a b c (Å): 4.504 4.504 4.504
angles (deg): 60.00 60.00 60.00
Sites, in units of the cell vectors:
Sm  0.000  0.000  0.000
Ni  0.750  0.750  0.750
Nb  0.250  0.250  0.250

Calculated total energy in eV/atom: -5.538
ΔE to the lowest computed polymorph in eV/atom: 0.835
Crystal system: cubic


A plane-wave DFT calculation with PBE was carried out for a relaxed Nb4Ni5Sn5 crystal.

a b c (Å): 5.978 7.302 7.302
angles (deg): 80.35 114.16 114.16
Sites, in units of the cell vectors:
Nb  0.397  0.601  0.202
Nb  0.204  0.798  0.601
Nb  0.805  0.202  0.399
Nb  0.594  0.399  0.798
Sn  0.903  0.629  0.191
Sn  0.500  0.000  0.000
Sn  0.726  0.809  0.629
Sn  0.288  0.191  0.371
Sn  0.082  0.371  0.809
Ni  0.166  0.106  0.680
Ni  0.380  0.894  0.320
Ni  0.941  0.320  0.106
Ni  0.750  0.500  0.500
Ni  0.514  0.680  0.894

Calculated total energy in eV/atom: -6.558
Crystal system: tetragonal